! VCr3Hg, optimized geometry, DFT GGA-PBE; values from VASP
&SYSTEM
  ibrav = 0, nat = 5, ntyp = 3
/
ATOMIC_SPECIES
Cr 52.00 Cr.upf
Hg 200.59 Hg.upf
V 50.94 V.upf
ATOMIC_POSITIONS crystal
Cr 0.000 0.500 0.000
Cr 0.000 0.000 0.500
Cr 0.500 0.000 0.000
Hg 0.000 0.000 0.000
V 0.500 0.500 0.500
CELL_PARAMETERS angstrom
5.097 0.000 0.000
0.000 5.097 0.000
0.000 0.000 5.097
! **Offset from the most stable computed form**: 660 meV per atom
! **DFT total energy**: -0.2104 Ha/atom
! **Formation energy from the elements**: 1.93 eV per atom

! ScSnIrPt2, optimized geometry, DFT GGA-PBE; values from VASP
&SYSTEM
  ibrav = 0, nat = 5, ntyp = 4
/
ATOMIC_SPECIES
Pt 195.08 Pt.upf
Ir 192.22 Ir.upf
Sc 44.96 Sc.upf
Sn 118.71 Sn.upf
ATOMIC_POSITIONS crystal
Pt 0.500 0.000 0.000
Pt 0.000 0.000 0.500
Ir 0.000 0.000 0.000
Sc 0.500 0.500 0.500
Sn 0.000 0.500 0.000
CELL_PARAMETERS angstrom
-3.226 -3.727 0.550
1.037 -0.196 4.762
-3.616 3.267 0.922
! **DFT total energy**: -0.2114 Ha/atom
! **Formation energy from the elements**: 0.50 eV per atom